# Nd2HoTa2N6 | the Open Quantum Materials Database | PBE | relaxed
data_Nd2HoTa2N6
_space_group_name_H-M_alt 'P 1'
_space_group_IT_number 1
_cell_length_a 10.1248
_cell_length_b 10.1248
_cell_length_c 10.1248
_cell_angle_alpha 157.16
_cell_angle_beta 157.16
_cell_angle_gamma 32.52
loop_
_space_group_symop_operation_xyz
'x,y,z'
loop_
_atom_site_label
_atom_site_type_symbol
_atom_site_fract_x
_atom_site_fract_y
_atom_site_fract_z
_atom_site_occupancy
N1 N 0.9208 0.4208 0.5000 1
N2 N 0.5792 0.0792 0.5000 1
N3 N 0.3023 0.3023 0.0000 1
N4 N 0.6977 0.6977 0.0000 1
N5 N 0.4208 0.9208 0.5000 1
N6 N 0.0792 0.5792 0.5000 1
Nd1 Nd 0.1801 0.1801 0.0000 1
Nd2 Nd 0.8199 0.8199 0.0000 1
Ta1 Ta 0.5968 0.5968 0.0000 1
Ta2 Ta 0.4032 0.4032 0.0000 1
Ho1 Ho 0.0000 0.0000 0.0000 1
# **Energy**: -102.745 eV/cell
# **Size of the total moment**: 0.00 μB per formula unit